Entry from Alexandria: a relaxed structure of Sb2TeIr (PBE-GGA).

abc: 4.9809 4.9809 6.4860
angles: 68.72 68.72 45.98
Element x y z (fractional)
Sb 0.7739 0.7739 0.7997
Sb 0.9319 0.9319 0.1018
Te 0.5840 0.5840 0.4584
Ir 0.2102 0.2102 0.1401

Output
Formation energy (no corrections)   14 kJ/mol of formula units
N(E_F)   2.13 states/eV/cell
Calculated volume   106.3 Å³/cell
SG   Cm (8)
Calculated total energy   -5.025 eV/atom